Entry 1:
The following is a GGA-PBE calculation of a geometry-optimized Pu3Al4Ga8 structure, from the Alexandria database.

Lattice parameters (Å, degrees): 9.3042 9.3042 9.3042 60.00 60.00 60.00
Closest atoms and distances in Å follow each position.
Sites, in units of the cell vectors:
Pu: 0.2500 0.2500 0.7500  8 Ga 3.00, 6 Al 3.29
Pu: 0.2500 0.7500 0.2500  8 Ga 3.00, 6 Al 3.29
Pu: 0.7500 0.7500 0.2500  8 Ga 3.00, 6 Al 3.29
Pu: 0.7500 0.2500 0.7500  8 Ga 3.00, 6 Al 3.29
Pu: 0.2500 0.7500 0.7500  8 Ga 3.00, 6 Al 3.29
Pu: 0.7500 0.2500 0.2500  8 Ga 3.00, 6 Al 3.29
Ga: 0.8583 0.4252 0.8583  3 Al 2.75, 3 Ga 2.85, 3 Pu 3.00
Ga: 0.6418 0.0746 0.6418  3 Al 2.75, 3 Ga 2.85, 3 Pu 3.00
Ga: 0.5748 0.1417 0.1417  3 Al 2.75, 3 Ga 2.85, 3 Pu 3.00
Ga: 0.8583 0.8583 0.8583  3 Al 2.75, 3 Ga 2.85, 3 Pu 3.00
Ga: 0.1417 0.5748 0.1417  3 Al 2.75, 3 Ga 2.85, 3 Pu 3.00
Ga: 0.0746 0.6418 0.6418  3 Al 2.75, 3 Ga 2.85, 3 Pu 3.00
Ga: 0.1417 0.1417 0.1417  3 Al 2.75, 3 Ga 2.85, 3 Pu 3.00
Ga: 0.6418 0.6418 0.6418  3 Al 2.75, 3 Ga 2.85, 3 Pu 3.00
Ga: 0.6418 0.6418 0.0746  3 Al 2.75, 3 Ga 2.85, 3 Pu 3.00
Ga: 0.9254 0.3582 0.3582  3 Al 2.75, 3 Ga 2.85, 3 Pu 3.00
Ga: 0.3582 0.9254 0.3582  3 Al 2.75, 3 Ga 2.85, 3 Pu 3.00
Ga: 0.3582 0.3582 0.9254  3 Al 2.75, 3 Ga 2.85, 3 Pu 3.00
Ga: 0.1417 0.1417 0.5748  3 Al 2.75, 3 Ga 2.85, 3 Pu 3.00
Ga: 0.4252 0.8583 0.8583  3 Al 2.75, 3 Ga 2.85, 3 Pu 3.00
Ga: 0.3582 0.3582 0.3582  3 Al 2.75, 3 Ga 2.85, 3 Pu 3.00
Ga: 0.8583 0.8583 0.4252  3 Al 2.75, 3 Ga 2.85, 3 Pu 3.00
Al: 0.0000 0.0000 0.5000  8 Ga 2.75
Al: 0.5000 0.5000 0.0000  8 Ga 2.75
Al: 0.0000 0.5000 0.0000  8 Ga 2.75
Al: 0.5000 0.0000 0.5000  8 Ga 2.75
Al: 0.5000 0.5000 0.5000  8 Ga 3.23, 6 Pu 3.29
Al: 0.0000 0.0000 0.0000  8 Ga 3.23, 6 Pu 3.29
Al: 0.0000 0.5000 0.5000  8 Ga 2.75
Al: 0.5000 0.0000 0.0000  8 Ga 2.75

Values from the calculation:
symmetry = Pm-3m (221)
theoretical density = 8.2 g/cm³
M_tot = 15.9 μB/f.u.
formation enthalpy at 0 K = -0.290 eV per atom


Entry 2:
The following is a GGA-PBE calculation of a geometry-optimized YMo2IrC structure, from the Alexandria database.

Lattice parameters (Å, degrees): 4.6937 5.4051 4.6937 90.00 90.00 90.00
Closest atoms and distances in Å follow each position.
Sites, in units of the cell vectors:
C: 0.5000 0.5000 0.5000  4 Y 3.32, 8 Mo 3.58
Ir: 0.0000 0.0000 0.0000  4 Mo 2.35
Mo: 0.5000 0.0000 0.0000  2 Ir 2.35
Mo: 0.0000 0.0000 0.5000  2 Ir 2.35
Y: 0.0000 0.5000 0.0000  2 Ir 2.70

Values from the calculation:
symmetry = P4/mmm (123)
theoretical density = 6.8 g/cm³
M_tot = 0.0 μB/f.u.
formation enthalpy at 0 K = 2.069 eV per atom


Entry 3:
The following is a GGA-PBE calculation of a geometry-optimized Ba3LaCd4 structure, from the Alexandria database.

Lattice parameters (Å, degrees): 4.1460 4.1460 16.8978 90.00 90.00 90.00
Closest atoms and distances in Å follow each position.
Sites, in units of the cell vectors:
Cd: 0.0000 0.0000 0.6291  8 Ba 3.65-3.67
Cd: 0.0000 0.0000 0.3709  8 Ba 3.65-3.67
Cd: 0.0000 0.0000 0.8960  4 La 3.42, 1 Cd 3.51, 4 Ba 3.72
Cd: 0.0000 0.0000 0.1040  4 La 3.42, 1 Cd 3.51, 4 Ba 3.72
La: 0.5000 0.5000 0.0000  8 Cd 3.42
Ba: 0.5000 0.5000 0.7602  8 Cd 3.67-3.72, 1 La 4.05
Ba: 0.5000 0.5000 0.5000  8 Cd 3.65
Ba: 0.5000 0.5000 0.2398  8 Cd 3.67-3.72, 1 La 4.05

Values from the calculation:
symmetry = P4/mmm (123)
theoretical density = 5.7 g/cm³
M_tot = 0.1 μB/f.u.
formation enthalpy at 0 K = -0.317 eV per atom


Entry 4:
The following is a GGA-PBE calculation of a geometry-optimized CaCd4Ag4 structure, from the Alexandria database.

Lattice parameters (Å, degrees): 4.8701 9.1205 9.1205 90.00 90.00 90.00
Closest atoms and distances in Å follow each position.
Sites, in units of the cell vectors:
Ag: 0.5000 0.1118 0.7992  4 Cd 2.83-3.00, 2 Ag 2.96
Ag: 0.0000 0.2992 0.3882  4 Cd 2.83-3.00, 2 Ag 2.96
Ag: 0.0000 0.7008 0.6118  4 Cd 2.83-3.00, 2 Ag 2.96
Ag: 0.5000 0.7992 0.8882  4 Cd 2.83-3.00, 2 Ag 2.96
Ag: 0.5000 0.8882 0.2008  4 Cd 2.83-3.00, 2 Ag 2.96
Ag: 0.0000 0.6118 0.2992  4 Cd 2.83-3.00, 2 Ag 2.96
Ag: 0.0000 0.3882 0.7008  4 Cd 2.83-3.00, 2 Ag 2.96
Ag: 0.5000 0.2008 0.1118  4 Cd 2.83-3.00, 2 Ag 2.96
Cd: 0.4998 0.4152 0.8625  4 Ag 2.83-3.00, 1 Cd 2.95
Cd: 0.9998 0.6375 0.9152  4 Ag 2.83-3.00, 1 Cd 2.95
Cd: 0.0002 0.0848 0.6375  4 Ag 2.83-3.00, 1 Cd 2.95
Cd: 0.4998 0.5848 0.1375  4 Ag 2.83-3.00, 1 Cd 2.95
Cd: 0.0002 0.9152 0.3625  4 Ag 2.83-3.00, 1 Cd 2.95
Cd: 0.9998 0.3625 0.0848  4 Ag 2.83-3.00, 1 Cd 2.95
Cd: 0.5002 0.8625 0.5848  4 Ag 2.83-3.00, 1 Cd 2.95
Cd: 0.5002 0.1375 0.4152  4 Ag 2.83-3.00, 1 Cd 2.95
Ca: 0.0000 0.0000 0.0000  8 Ag 3.21, 4 Cd 3.40
Ca: 0.5000 0.5000 0.5000  8 Ag 3.21, 4 Cd 3.40

Values from the calculation:
symmetry = I4/m (87)
theoretical density = 7.6 g/cm³
M_tot = 0.0 μB/f.u.
formation enthalpy at 0 K = -0.054 eV per atom


Entry 5:
The following is a GGA-PBE calculation of a geometry-optimized Ba6Na3Mg structure, from the Alexandria database.

Lattice parameters (Å, degrees): 6.5920 11.4669 14.1021 90.00 89.98 90.00
Closest atoms and distances in Å follow each position.
Sites, in units of the cell vectors:
Na: 0.5000 0.5000 0.0000  2 Ba 3.58
Na: 0.0007 0.6638 0.2466  3 Ba 3.81-3.82
Na: 0.9993 0.3362 0.7534  3 Ba 3.81-3.82
Na: 0.4993 0.1638 0.2534  3 Ba 3.81-3.82
Na: 0.5007 0.8362 0.7466  3 Ba 3.81-3.82
Na: 0.0000 0.0000 0.5000  2 Ba 3.58
Ba: 0.0007 0.0035 0.7536  1 Mg 3.48, 4 Na 3.58-3.82
Ba: 0.9997 0.6545 0.5802  2 Mg 3.91, 1 Na 4.12, 1 Ba 4.20
Ba: 0.0003 0.3455 0.4198  2 Mg 3.91, 1 Na 4.12, 1 Ba 4.20
Ba: 0.5003 0.1545 0.9198  2 Mg 3.91, 1 Na 4.12, 1 Ba 4.20
Ba: 0.4997 0.8190 0.4248  1 Mg 3.81, 2 Na 4.03-4.04
Ba: 0.4993 0.5035 0.7464  1 Mg 3.48, 4 Na 3.58-3.82
Ba: 0.5007 0.4965 0.2536  1 Mg 3.48, 4 Na 3.58-3.82
Ba: 0.9997 0.6811 0.9248  1 Mg 3.81, 2 Na 4.04
Ba: 0.9993 0.9965 0.2464  1 Mg 3.48, 4 Na 3.58-3.82
Ba: 0.0003 0.3189 0.0752  1 Mg 3.81, 2 Na 4.04
Ba: 0.5003 0.1810 0.5752  1 Mg 3.81, 2 Na 4.03-4.04
Ba: 0.4997 0.8455 0.0802  2 Mg 3.91, 1 Na 4.12, 1 Ba 4.20
Mg: 0.5000 0.5000 0.5000  4 Ba 3.48-3.81
Mg: 0.0000 0.0000 0.0000  4 Ba 3.48-3.81

Values from the calculation:
symmetry = Pnnm (58)
theoretical density = 2.9 g/cm³
M_tot = 0.0 μB/f.u.
energy above the lowest structure with this stoichiometry = 4.0 kJ/mol of atoms
formation enthalpy at 0 K = 0.063 eV per atom


Entry 6:
The following is a GGA-PBE calculation of a geometry-optimized Sr2UReO8 structure, from the Alexandria database.

Lattice parameters (Å, degrees): 5.3230 5.3147 6.7175 90.00 90.00 91.72
Closest atoms and distances in Å follow each position.
Sites, in units of the cell vectors:
Sr: 0.5000 0.5000 0.2421  6 O 2.46-2.52
Sr: 0.5000 0.5000 0.7579  6 O 2.46-2.52
U: 0.0000 0.0000 0.5000  2 O 1.96
O: 0.2650 0.2636 0.5000  1 U 1.96
O: 0.1689 0.8295 0.2330  1 Re 2.03, 1 U 2.21
O: 0.1689 0.8295 0.7670  1 Re 2.03, 1 U 2.21
O: 0.7522 0.7536 0.0000  1 Re 1.83
O: 0.7350 0.7364 0.5000  1 U 1.96
O: 0.2478 0.2464 0.0000  1 Re 1.83
O: 0.8311 0.1705 0.7670  1 Re 2.03, 1 U 2.21
O: 0.8311 0.1705 0.2330  1 Re 2.03, 1 U 2.21
Re: 0.0000 0.0000 0.0000  6 O 1.83-2.03

Values from the calculation:
symmetry = P2/m (10)
theoretical density = 6.4 g/cm³
M_tot = 1.1 μB/f.u.
uncorrected formation energy = -2.56 eV/atom


Entry 7:
The following is a GGA-PBE calculation of a geometry-optimized NiAgHRh2 structure, from the Alexandria database.

Lattice parameters (Å, degrees): 3.9083 3.9083 3.9163 90.00 90.00 90.00
Closest atoms and distances in Å follow each position.
Sites, in units of the cell vectors:
H: 0.0000 0.0000 0.0000  4 Rh 1.95, 2 Ni 1.96
Ni: 0.0000 0.0000 0.5000  2 H 1.96
Rh: 0.5000 0.0000 0.0000  2 H 1.95
Rh: 0.0000 0.5000 0.0000  2 H 1.95
Ag: 0.5000 0.5000 0.5000  4 Ni 2.76, 8 Rh 2.77

Values from the calculation:
symmetry = P4/mmm (123)
theoretical density = 10.4 g/cm³
M_tot = 0.6 μB/f.u.
energy above the lowest structure with this stoichiometry = 0.0 kJ/mol of atoms


Entry 8:
The following is a GGA-PBE calculation of a geometry-optimized LiNd2Ni4P3 structure, from the Alexandria database.

Lattice parameters (Å, degrees): 3.9989 3.9989 9.3300 90.00 90.00 90.00
Closest atoms and distances in Å follow each position.
Sites, in units of the cell vectors:
Nd: 0.5000 0.0000 0.2458  6 P 3.02-3.10, 8 Ni 3.04-3.08, 2 Li 3.10
Nd: 0.0000 0.5000 0.7542  6 P 3.02-3.10, 8 Ni 3.04-3.08, 2 Li 3.10
Ni: 0.5000 0.5000 0.0000  4 P 2.35
Ni: 0.0000 0.0000 0.0000  4 P 2.35
Ni: 0.0000 0.5000 0.3769  3 P 2.28-2.31, 2 Li 2.31
Ni: 0.5000 0.0000 0.6231  3 P 2.28-2.31, 2 Li 2.31
P: 0.0000 0.0000 0.5000  4 Ni 2.31
P: 0.5000 0.0000 0.8677  5 Ni 2.28-2.35
P: 0.0000 0.5000 0.1323  5 Ni 2.28-2.35
Li: 0.5000 0.5000 0.5000  4 Ni 2.31

Values from the calculation:
symmetry = P-4m2 (115)
theoretical density = 6.9 g/cm³
M_tot = 0.0 μB/f.u.
formation enthalpy at 0 K = -0.901 eV per atom